Entry from Alexandria via LeMat-Bulk: a geometry-optimized CaV2O6 structure (GGA+U).

a b c (Å): 10.710 10.005 6.039
angles (deg): 90.00 110.03 90.00
Space group C2/c (No. 15)
One atom of each set of equivalent atoms:
Ca (0.000, 0.106, 0.250)
V (0.200, 0.421, 0.241)
O (0.131, 0.066, 0.649)
O (0.139, 0.500, 0.455)
O (0.152, 0.261, 0.216)

Calculated values
calculated density = 2.6 g/cm3
calculated volume = 607.9 Å³/cell
final energy = -0.272 Ha/atom
density of states at the Fermi level = 0.00 states/eV/atom

Entry from Alexandria via LeMat-Bulk: a geometry-optimized CaV2O6 structure (GGA+U).

a b c (Å): 10.745 3.692 7.267
angles (deg): 90.00 101.40 90.00
Space group C2/m (No. 12)
One atom of each set of equivalent atoms:
Ca (0.000, 0.000, 0.000)
V (0.250, 0.000, 0.676)
O (0.117, 0.000, 0.760)
O (0.122, 0.500, 0.141)
O (0.238, 0.000, 0.396)

Calculated values
calculated density = 2.8 g/cm3
calculated volume = 282.6 Å³/cell
final energy = -0.273 Ha/atom
density of states at the Fermi level = 0.00 states/eV/atom

Entry from Alexandria via LeMat-Bulk: a geometry-optimized Ca2V2O7 structure (GGA+U).

a b c (Å): 6.764 7.085 7.152
angles (deg): 85.15 63.67 81.80
Space group P-1 (No. 2)
One atom of each set of equivalent atoms:
Ca (0.243, 0.459, 0.241)
Ca (0.244, 0.841, 0.831)
V (0.227, 0.952, 0.346)
V (0.297, 0.333, 0.738)
O (0.043, 0.909, 0.630)
O (0.138, 0.176, 0.920)
O (0.149, 0.448, 0.607)
O (0.261, 0.791, 0.168)
O (0.356, 0.505, 0.867)
O (0.384, 0.138, 0.245)
O (0.453, 0.798, 0.434)

Calculated values
calculated density = 3.2 g/cm3
calculated volume = 304.0 Å³/cell
final energy = -0.270 Ha/atom
density of states at the Fermi level = 0.00 states/eV/atom